A relaxed structure of Fe2ReRh, computed with GGA-PBE.

Cell: 4.9697 4.9697 4.9697 Å, 146.13 129.11 62.54°
Last column: nearest neighbours and their distance in Å.
Sites, in units of the cell vectors:
1 Fe 0.7603 0.2603 0.5000  2 Fe 2.40, 2 Re 2.55, 4 Rh 2.58
2 Fe 0.9854 0.9854 0.0000  2 Fe 2.40, 4 Re 2.59, 2 Rh 2.61
3 Rh 0.2415 0.7415 0.5000  6 Fe 2.58-2.61, 4 Re 2.72-2.89
4 Re 0.5128 0.5128 0.0000  6 Fe 2.55-2.59, 2 Rh 2.72

- ΔH_f (0 K) (eV per atom) = 0.076
- spin magnetization (μB per atom) = 1.26
- space group = No. 44